1.
Material: KAl2Se
Method: DFT, PBE
State: optimized geometry

The value obtained for the formation energy from raw total energies is -0.15 eV/atom. The calculation puts the electronic total energy at -25.4 eV for the cell shown.

The structure belongs to space group C2/m (No. 12); the cell edges are 11.265, 3.468 and 5.727 Å and the angles 90.00°, 110.97° and 90.00°. The distinct sites, in fractional coordinates, are K at (0.000, 0.000, 0.000), Al at (0.197, 0.000, 0.635) and Se at (0.000, 0.500, 0.500).



2.
Material: Ac3InCu3
Method: DFT, PBE
State: optimized geometry

The calculation puts the electronic total energy at -54.9 eV for the cell shown. The offset from the most stable computed form is 218 meV per atom. The value obtained for the formation energy from the elements is -13 meV/atom.

The structure belongs to space group P6_3/m (No. 176); the cell edges are 9.2563, 9.2563 and 6.0292 Å and the angles 90.00°, 90.00° and 120.00°. The distinct sites, in fractional coordinates, are Ac at (0.0528, 0.3539, 0.2500), In at (0.3333, 0.6667, 0.7500) and Cu at (0.0511, 0.3704, 0.7500).



3.
Material: In3FeSe
Method: DFT, PBE
State: optimized geometry

The value obtained for the formation energy from raw total energies is 0.91 eV/atom. The calculation puts the electronic total energy at -15.6 eV for the cell shown. The offset from the most stable computed form is 678 meV per atom.

The structure belongs to space group Pm-3m (No. 221); the cell edges are 5.483, 5.483 and 5.483 Å and the angles 90.00°, 90.00° and 90.00°. The distinct sites, in fractional coordinates, are In at (0.000, 0.000, 0.500), Fe at (0.500, 0.500, 0.500) and Se at (0.000, 0.000, 0.000).



4.
Material: Mg2AlW
Method: DFT, PBE
State: optimized geometry

The calculation puts the electronic total energy at -37.5 eV for the cell shown. The value obtained for the formation energy from the elements is 287 meV/atom.

The structure belongs to space group I4/mmm (No. 139); the cell edges are 3.853, 3.853 and 9.310 Å and the angles 90.00°, 90.00° and 90.00°. The distinct sites, in fractional coordinates, are Mg at (0.000, 0.500, 0.250), Al at (0.000, 0.000, 0.000) and W at (0.000, 0.000, 0.500).



5.
Material: CaInMo2
Method: DFT, PBE
State: optimized geometry

The calculation puts the electronic total energy at -70.0 eV for the cell shown. The value obtained for the formation energy from the elements is 766 meV/atom.

The structure belongs to space group R-3m (No. 166, hexagonal axes); the cell edges are 3.0164, 3.0164 and 30.1873 Å and the angles 90.00°, 90.00° and 120.00°. The distinct sites, in fractional coordinates, are Ca at (0.0000, 0.0000, 0.0000), In at (0.0000, 0.0000, 0.5000) and Mo at (0.0000, 0.0000, 0.2451).



6.
Material: CdAgRh2
Method: DFT, PBE
State: optimized geometry

The calculation puts the electronic total energy at -35.7 eV for the cell shown. The value obtained for the formation energy from the elements is 156 meV/atom.

The structure belongs to space group Immm (No. 71); the cell edges are 2.902, 4.749 and 9.527 Å and the angles 90.00°, 90.00° and 90.00°. The distinct sites, in fractional coordinates, are Cd at (0.000, 0.000, 0.000), Ag at (0.000, 0.000, 0.500) and Rh at (0.000, 0.500, 0.251).



7.
Material: Zn2CdIr
Method: DFT, PBE
State: optimized geometry

The calculation puts the electronic total energy at -25.1 eV for the cell shown. The value obtained for the formation energy from the elements is -50 meV/atom.

The structure belongs to space group Cm (No. 8); the cell edges are 9.792, 3.182 and 4.367 Å and the angles 90.00°, 112.69° and 90.00°. The distinct sites, in fractional coordinates, are Zn at (0.000, 0.000, 0.000), Zn at (0.247, 0.500, 0.310), Cd at (0.239, 0.000, 0.794) and Ir at (0.478, 0.000, 0.472).



8.
Material: NdDy6Sc
Method: DFT, PBE
State: optimized geometry

The calculation puts the electronic total energy at -71.2 eV for the cell shown. The offset from the most stable computed form is 350 meV per atom. The value obtained for the formation energy from the elements is 387 meV/atom.

The structure belongs to space group C2/m (No. 12); the cell edges are 9.662, 6.871 and 8.657 Å and the angles 90.00°, 107.31° and 90.00°. The distinct sites, in fractional coordinates, are Nd at (0.000, 0.000, 0.000), Dy at (0.139, 0.500, 0.439), Dy at (0.190, 0.256, 0.796) and Sc at (0.000, 0.000, 0.500).



9.
Material: Na12Se3Br5
Method: DFT, PBE
State: optimized geometry

The value obtained for the formation energy from raw total energies is -1.15 eV/atom. The calculation puts the electronic total energy at -461.5 eV for the cell shown.

The structure belongs to space group Ia-3d (No. 230); the cell edges are 17.133, 17.133 and 17.133 Å and the angles 90.00°, 90.00° and 90.00°. The distinct sites, in fractional coordinates, are Na at (0.013, 0.073, 0.657), Se at (0.000, 0.250, 0.125), Br at (0.000, 0.000, 0.000) and Br at (0.000, 0.250, 0.375).



10.
Material: Hg2SbRu
Method: DFT, PBE
State: optimized geometry

The value obtained for the formation energy from raw total energies is 0.25 eV/atom. The calculation puts the electronic total energy at -26.0 eV for the cell shown.

The structure belongs to space group Cm (No. 8); the cell edges are 9.567, 3.450 and 6.366 Å and the angles 90.00°, 123.63° and 90.00°. The distinct sites, in fractional coordinates, are Hg at (0.000, 0.000, 0.000), Hg at (0.204, 0.000, 0.796), Sb at (0.387, 0.000, 0.378) and Ru at (0.206, 0.500, 0.444).



11.
Material: KRuCl2
Method: DFT, PBE
State: optimized geometry

The value obtained for the formation energy from raw total energies is -0.37 eV/atom. The calculation puts the electronic total energy at -46.7 eV for the cell shown. The offset from the most stable computed form is 107 meV per atom.

The structure belongs to space group R-3m (No. 166, hexagonal axes); the cell edges are 4.0863, 4.0863 and 18.3682 Å and the angles 90.00°, 90.00° and 120.00°. The distinct sites, in fractional coordinates, are K at (0.0000, 0.0000, 0.0000), Ru at (0.0000, 0.0000, 0.5000) and Cl at (0.0000, 0.0000, 0.2235).



12.
Material: SmPuThTl
Method: DFT, PBE
State: optimized geometry

The calculation puts the electronic total energy at -113.0 eV for the cell shown. The value obtained for the formation energy from the elements is 145 meV/atom.

The structure belongs to space group F-43m (No. 216); the cell edges are 7.735, 7.735 and 7.735 Å and the angles 90.00°, 90.00° and 90.00°. The distinct sites, in fractional coordinates, are Sm at (0.000, 0.000, 0.000), Pu at (0.000, 0.000, 0.500), Th at (0.250, 0.250, 0.750) and Tl at (0.250, 0.250, 0.250).